Entry 1:
## CaTbCdSn (PBE)

Data for CaTbCdSn after structural relaxation.

```
4
Lattice="5.358 0.000 0.000 2.679 4.640 0.000 2.679 1.547 4.375" Properties=species:S:1:pos:R:3 pbc="T T T"
Tb 5.358 3.094 2.188
Ca 0.000 0.000 0.000
Sn 2.679 1.547 1.094
Cd 8.037 4.640 3.281
```

Calculated values
The density of states at the Fermi level comes out at 3.46 states/eV/cell. The calculation puts the formation energy from the elements at -0.495 eV per atom.

Entry 2:
## CaThCdSn (PBE)

Data for CaThCdSn after structural relaxation.

```
4
Lattice="5.431 0.000 0.000 2.715 4.703 0.000 2.715 1.568 4.434" Properties=species:S:1:pos:R:3 pbc="T T T"
Cd 8.146 4.703 3.326
Ca 0.000 0.000 0.000
Th 5.431 3.135 2.217
Sn 2.715 1.568 1.109
```

Calculated values
The density of states at the Fermi level comes out at 3.03 states/eV/cell. The calculation puts the formation energy from the elements at -0.331 eV per atom.

Entry 3:
## CaTmCdSn (PBE)

Data for CaTmCdSn after structural relaxation.

```
4
Lattice="5.319 0.000 0.000 2.660 4.607 0.000 2.660 1.536 4.343" Properties=species:S:1:pos:R:3 pbc="T T T"
Ca 0.000 0.000 0.000
Cd 7.979 4.607 3.258
Tm 5.319 3.071 2.172
Sn 2.660 1.536 1.086
```

Calculated values
The density of states at the Fermi level comes out at 2.96 states/eV/cell. The calculation puts the formation energy from the elements at -0.465 eV per atom.

Entry 4:
## CaYCdSn (PBE)

Data for CaYCdSn after structural relaxation.

```
4
Lattice="-4.258 -2.714 -1.779 -3.017 -2.794 3.428 -4.939 1.679 1.203" Properties=species:S:1:pos:R:3 pbc="T T T"
Cd -9.160 -2.872 2.139
Y -6.107 -1.915 1.426
Sn -3.053 -0.957 0.713
Ca 0.000 0.000 0.000
```

Calculated values
The density of states at the Fermi level comes out at 3.40 states/eV/cell. The calculation puts the formation energy from the elements at -0.505 eV per atom.

Entry 5:
## Ca2Zn4CdSn3 (PBE)

Data for Ca2Zn4CdSn3 after structural relaxation.

```
10
Lattice="-3.930 1.869 0.912 -2.076 -3.643 -1.478 0.333 -4.575 10.807" Properties=species:S:1:pos:R:3 pbc="T T T"
Zn -1.751 -2.000 7.387
Zn -3.003 -0.887 -0.283
Zn 0.000 0.000 0.000
Zn -0.919 -3.463 3.137
Sn -1.677 -3.013 9.781
Sn -0.992 -2.449 0.743
Sn 0.167 -2.288 5.404
Ca -0.787 -5.263 7.390
Ca -1.882 -0.199 3.134
Cd -2.836 -3.175 5.121
```

Calculated values
The density of states at the Fermi level comes out at 1.48 states/eV/cell. The calculation puts the formation energy from the elements at -0.285 eV per atom.

Entry 6:
## Ca2Zn3CdSn4 (PBE)

Data for Ca2Zn3CdSn4 after structural relaxation.

```
10
Lattice="4.630 0.000 0.000 0.000 4.630 0.000 0.000 0.000 11.661" Properties=species:S:1:pos:R:3 pbc="T T T"
Sn 0.000 2.315 4.157
Sn 0.000 0.000 0.000
Sn 2.315 0.000 7.505
Sn 2.315 2.315 0.000
Ca 0.000 2.315 8.794
Ca 2.315 0.000 2.867
Zn 0.000 0.000 5.831
Zn 2.315 0.000 10.099
Zn 0.000 2.315 1.562
Cd 2.315 2.315 5.831
```

Calculated values
The density of states at the Fermi level comes out at 3.23 states/eV/cell. The calculation puts the formation energy from the elements at -0.262 eV per atom.

Entry 7:
## SrCa6Cd2 (PBE)

Data for SrCa6Cd2 after structural relaxation.

```
9
Lattice="-1.871 -0.004 3.498 5.091 -0.324 4.973 1.668 12.243 3.155" Properties=species:S:1:pos:R:3 pbc="T T T"
Ca 0.601 5.008 4.826
Ca 4.286 6.906 6.800
Ca 1.375 1.424 5.236
Ca 2.459 3.752 8.068
Ca 2.428 8.163 3.558
Ca 3.512 10.490 6.390
Cd 0.266 2.684 2.395
Cd 4.621 9.230 9.231
Sr 0.000 0.000 0.000
```

Calculated values
The density of states at the Fermi level comes out at 8.99 states/eV/cell. The calculation puts the formation energy from the elements at -0.143 eV per atom. The energy above the most stable polymorph in this dataset is 0 meV per atom.

Entry 8:
## Sr6Ca2Cd (PBE)

Data for Sr6Ca2Cd after structural relaxation.

```
9
Lattice="-3.311 0.559 2.354 -4.915 -9.430 -4.672 7.847 -0.715 7.626" Properties=species:S:1:pos:R:3 pbc="T T T"
Sr -3.111 -2.513 -0.207
Sr -5.115 -6.357 -2.111
Sr 2.079 -0.257 2.979
Sr -0.876 -6.293 3.833
Sr -2.458 -9.328 2.330
Sr 0.497 -3.292 1.475
Ca -1.306 -6.308 -0.331
Ca 0.927 -3.277 5.639
Cd 0.000 0.000 0.000
```

Calculated values
The density of states at the Fermi level comes out at 11.13 states/eV/cell. The calculation puts the formation energy from the elements at 0.030 eV per atom. The energy above the most stable polymorph in this dataset is 67 meV per atom.

Entry 9:
## Sr2CaCd (PBE)

Data for Sr2CaCd after structural relaxation.

```
4
Lattice="6.827 0.017 0.000 2.674 6.281 0.000 -4.751 -3.149 3.758" Properties=species:S:1:pos:R:3 pbc="T T T"
Cd 3.413 0.008 1.879
Sr 1.337 3.141 1.879
Sr 0.000 0.000 0.000
Ca 4.751 3.149 0.000
```

Calculated values
The density of states at the Fermi level comes out at 4.44 states/eV/cell. The calculation puts the formation energy from the elements at -0.041 eV per atom.

Entry 10:
## Sr12Ca3Cd (PBE)

Data for Sr12Ca3Cd after structural relaxation.

```
16
Lattice="5.887 0.000 0.000 0.000 5.887 0.000 0.000 0.000 22.677" Properties=species:S:1:pos:R:3 pbc="T T T"
Cd 0.000 0.000 0.000
Sr 2.944 0.000 2.490
Sr 0.000 2.944 14.289
Sr 2.944 2.944 11.339
Sr 2.944 0.000 8.388
Sr 2.944 0.000 20.187
Sr 2.944 2.944 5.402
Sr 0.000 2.944 8.388
Sr 0.000 2.944 2.490
Sr 2.944 2.944 17.275
Sr 0.000 2.944 20.187
Sr 2.944 2.944 0.000
Sr 2.944 0.000 14.289
Ca 0.000 0.000 5.471
Ca 0.000 0.000 11.339
Ca 0.000 0.000 17.206
```

Calculated values
The density of states at the Fermi level comes out at 20.87 states/eV/cell. The calculation puts the formation energy from the elements at -0.002 eV per atom.

Entry 11:
## Sr3CaCd8 (PBE)

Data for Sr3CaCd8 after structural relaxation.

```
12
Lattice="6.245 0.000 0.000 -3.123 5.409 0.000 0.000 0.000 9.814" Properties=species:S:1:pos:R:3 pbc="T T T"
Cd 4.660 2.690 7.346
Cd 1.586 2.690 7.346
Cd -1.596 4.527 2.478
Cd 3.123 0.028 7.346
Cd 0.000 3.606 4.913
Cd 0.000 1.763 2.478
Cd 0.000 3.606 0.014
Cd 1.596 4.527 2.478
Sr 3.123 1.803 4.356
Sr 3.123 1.803 0.587
Sr 0.000 0.000 9.184
Ca 0.000 0.000 5.455
```

Calculated values
The density of states at the Fermi level comes out at 8.09 states/eV/cell. The calculation puts the formation energy from the elements at -0.315 eV per atom.

Entry 12:
## SrCaCd (PBE)

Data for SrCaCd after structural relaxation.

```
3
Lattice="-5.352 -1.185 1.212 4.131 -2.172 3.119 -0.162 3.312 2.521" Properties=species:S:1:pos:R:3 pbc="T T T"
Cd -2.219 -0.945 2.281
Sr 0.862 0.358 4.159
Ca -0.027 0.541 0.412
```

Calculated values
The density of states at the Fermi level comes out at 3.54 states/eV/cell. The calculation puts the formation energy from the elements at -0.109 eV per atom. The energy above the most stable polymorph in this dataset is 116 meV per atom.